Entry 1:
# CaAc7Tb4

CaAc7Tb4 after structural relaxation (GGA-PBE, the Alexandria database).

Properties
VASP energy, eV per atom: -4.04
Crystal system: triclinic
Mass density, g/cm3: 7.8
N(E_F), states/eV/atom: 1.622
Formation enthalpy at 0 K, meV/atom: 63

Cell lengths 6.657, 7.688, 10.203 Å; angles 78.07, 71.01, 89.63 degrees
Positions (direct):
Ca (0.000, 0.000, 0.000)
Ac (0.000, 0.500, 0.000)
Ac (0.166, 0.915, 0.342)
Ac (0.334, 0.337, 0.662)
Ac (0.496, 0.744, 0.998)
Ac (0.504, 0.256, 0.002)
Ac (0.666, 0.663, 0.338)
Ac (0.834, 0.085, 0.658)
Tb (0.166, 0.415, 0.335)
Tb (0.344, 0.831, 0.661)
Tb (0.656, 0.169, 0.339)
Tb (0.834, 0.585, 0.665)

---

Entry 2:
# TcSbTe2

TcSbTe2 after structural relaxation (GGA-PBE, the Alexandria database).

Properties
VASP energy, eV per atom: -4.74
Crystal system: tetragonal
Mass density, g/cm3: 6.1
N(E_F), states/eV/atom: 0.390

Cell lengths 7.283, 7.283, 7.283 Å; angles 122.99, 122.99, 84.90 degrees
Positions (direct):
Tc (0.000, 0.000, 0.000)
Tc (0.750, 0.250, 0.500)
Sb (0.250, 0.750, 0.500)
Sb (0.500, 0.500, 0.000)
Te (0.064, 0.625, 0.939)
Te (0.375, 0.314, 0.439)
Te (0.686, 0.125, 0.061)
Te (0.875, 0.936, 0.561)

---

Entry 3:
# CaLaGaSi

CaLaGaSi after structural relaxation (GGA-PBE, the Alexandria database).

Properties
VASP energy, eV per atom: -4.46
Crystal system: orthorhombic
Mass density, g/cm3: 4.4
N(E_F), states/eV/atom: 0.470

Cell lengths 4.099, 6.042, 6.042 Å; angles 44.15, 90.00, 90.00 degrees
Positions (direct):
Ca (0.000, 0.000, 0.000)
La (0.500, 0.278, 0.278)
Ga (0.500, 0.568, 0.568)
Si (0.000, 0.708, 0.708)

---

Entry 4:
# MnAsP2

MnAsP2 after structural relaxation (GGA-PBE, the Alexandria database).

Properties
VASP energy, eV per atom: -6.15
Crystal system: monoclinic
Mass density, g/cm3: 5.0
N(E_F), states/eV/atom: 0.565
Formation enthalpy at 0 K, meV/atom: 9

Cell lengths 3.144, 3.144, 8.217 Å; angles 98.26, 98.26, 52.67 degrees
Positions (direct):
Mn (0.000, 0.000, 0.000)
As (0.500, 0.500, 0.500)
P (0.366, 0.366, 0.185)
P (0.634, 0.634, 0.815)